First-principles (PBE+U) data for a geometry-optimized NiNClF2 structure, as listed in Alexandria via LeMat-Bulk.

The energy comes out at -0.092 hartree per atom. The value obtained for the total magnetization is 1.69 μB/cell. Its polymorph energy (0 for the lowest one) is 729 meV/atom. The value obtained for the density of states at the Fermi level is 4.99 states/eV/cell.

Lattice parameters (Å, degrees): 4.7420 4.7420 3.3013 90.00 90.00 90.00
Last column: nearest neighbours and their distance in Å.
Sites, in units of the cell vectors:
Ni 0.5000 0.5000 0.5000  8 F 2.89
F 0.5000 0.0000 0.0000  2 Cl 2.37
F 0.0000 0.5000 0.0000  2 Cl 2.37
N 0.0000 0.0000 0.5000  2 Cl 1.65
Cl 0.0000 0.0000 0.0000  2 N 1.65